# 1
An optimized crystal structure of HgIrBr2, computed with GGA-PBE.

The space group is P4/mmm (No. 123) and the conventional cell measures 3.279, 3.279 and 9.870 Å, with angles of 90.00, 90.00 and 90.00 degrees. The inequivalent atoms are Hg at (0.000, 0.000, 0.000), Ir at (0.000, 0.000, 0.500) and Br at (0.500, 0.500, 0.341).

The relative energy among the computed polymorphs is 580.8 meV/atom. The calculated total energy comes out at -9.87 eV per cell. Its total magnetic moment is 0.1144 μB per atom. As for the volume: 106.12 Å³ per cell. The calculation puts the uncorrected formation energy at 0.6600 eV per atom.

=====

# 2
An optimized crystal structure of K2Ba2Tl, computed with GGA-PBE.

The space group is P4/mbm (No. 127) and the conventional cell measures 8.972, 8.972 and 6.712 Å, with angles of 90.00, 90.00 and 90.00 degrees. The inequivalent atoms are K at (0.141, 0.359, 0.000), Ba at (0.189, 0.689, 0.500) and Tl at (0.000, 0.000, 0.000).

The relative energy among the computed polymorphs is 74.4 meV/atom. The calculated total energy comes out at -15.53 eV per cell. The energy of formation is 0.13 eV per atom. Its total magnetic moment is 0.0000 μB per atom. As for the volume: 540.27 Å³ per cell.

=====

# 3
An optimized crystal structure of DyTlGe4, computed with GGA-PBE.

The space group is F-43m (No. 216) and the conventional cell measures 8.030, 8.030 and 8.030 Å, with angles of 90.00, 90.00 and 90.00 degrees. The inequivalent atoms are Dy at (0.000, 0.000, 0.000), Tl at (0.250, 0.250, 0.750) and Ge at (0.126, 0.126, 0.374).

The calculated total energy comes out at -104.67 eV per cell. The energy of formation is -0.12 eV per atom. Its total magnetic moment is 0.0000 μB per atom. As for the volume: 517.78 Å³ per cell.

=====

# 4
An optimized crystal structure of Mn2CuPt3, computed with GGA-PBE.

The space group is P4/mmm (No. 123) and the conventional cell measures 3.178, 3.178 and 8.702 Å, with angles of 90.00, 90.00 and 90.00 degrees. The inequivalent atoms are Mn at (0.000, 0.000, 0.174), Cu at (0.000, 0.000, 0.500), Pt at (0.500, 0.500, 0.000) and Pt at (0.500, 0.500, 0.337).

The calculated total energy comes out at -42.42 eV per cell. The energy of formation is -0.31 eV per atom. Its total magnetic moment is 1.4292 μB per atom. As for the volume: 87.90 Å³ per cell.

=====

# 5
An optimized crystal structure of BiTePd5, computed with GGA-PBE.

The space group is P4/mmm (No. 123) and the conventional cell measures 4.312, 4.312 and 7.137 Å, with angles of 90.00, 90.00 and 90.00 degrees. The inequivalent atoms are Bi at (0.000, 0.000, 0.000), Te at (0.500, 0.500, 0.500), Pd at (0.000, 0.500, 0.276) and Pd at (0.500, 0.500, 0.000).

The calculated total energy comes out at -34.77 eV per cell. Its total magnetic moment is 0.0000 μB per atom. As for the volume: 132.68 Å³ per cell. The calculation puts the uncorrected formation energy at -0.2544 eV per atom.

=====

# 6
An optimized crystal structure of BaYZn2, computed with GGA-PBE.

The space group is Cm (No. 8) and the conventional cell measures 12.168, 3.642 and 5.375 Å, with angles of 90.00, 116.13 and 90.00 degrees. The inequivalent atoms are Ba at (0.000, 0.000, 0.000), Y at (0.194, 0.000, 0.694), Zn at (0.269, 0.500, 0.270) and Zn at (0.441, 0.000, 0.441).

The relative energy among the computed polymorphs is 167.2 meV/atom. The calculated total energy comes out at -22.36 eV per cell. The energy of formation is -0.06 eV per atom. Its total magnetic moment is 0.0000 μB per atom. As for the volume: 213.86 Å³ per cell.

=====

# 7
An optimized crystal structure of Tb2Pr6NdDy, computed with GGA-PBE.

The space group is C2/c (No. 15) and the conventional cell measures 9.362, 15.428 and 9.810 Å, with angles of 90.00, 97.76 and 90.00 degrees. The inequivalent atoms are Tb at (0.248, 0.048, 0.047), Pr at (0.064, 0.179, 0.446), Pr at (0.097, 0.392, 0.618), Pr at (0.213, 0.222, 0.813), Nd at (0.000, 0.026, 0.750) and Dy at (0.000, 0.410, 0.250).

The calculated total energy comes out at -184.75 eV per cell. The energy of formation is 0.11 eV per atom. Its total magnetic moment is 0.0000 μB per atom. As for the volume: 1404.00 Å³ per cell.

=====

# 8
An optimized crystal structure of LaZnCoPt2, computed with GGA-PBE.

The space group is P4/mmm (No. 123) and the conventional cell measures 5.263, 5.263 and 4.607 Å, with angles of 90.00, 90.00 and 90.00 degrees. The inequivalent atoms are La at (0.000, 0.000, 0.000), Zn at (0.500, 0.500, 0.500), Co at (0.000, 0.000, 0.500) and Pt at (0.000, 0.500, 0.000).

The calculated total energy comes out at -19.78 eV per cell. The energy of formation is 1.12 eV per atom. Its total magnetic moment is 0.1470 μB per atom. As for the volume: 127.59 Å³ per cell.